(1)
Density functional theory data (PBE) for Ac4ThSe5 after structural relaxation.

Results
Energy ... -5.900 eV per atom
Magnetic moment ... 0.000 μB/atom

Cell: 4.412 6.247 11.658 Å, 105.54 100.91 90.00°
Fractional positions:
1 Ac 0.401 0.401 0.802
2 Ac 0.805 0.805 0.610
3 Ac 0.195 0.195 0.390
4 Ac 0.599 0.599 0.198
5 Th 0.000 0.000 0.000
6 Se 0.594 0.094 0.187
7 Se 0.798 0.298 0.595
8 Se 0.202 0.702 0.405
9 Se 0.000 0.500 0.000
10 Se 0.406 0.906 0.813


(2)
Density functional theory data (PBE) for Sc2InW after structural relaxation.

Results
Energy ... -7.116 eV per atom
Magnetic moment ... 0.000 μB/atom

Cell: 2.974 2.974 9.181 Å, 90.00 90.00 90.00°
Fractional positions:
1 In 0.500 0.500 0.750
2 Sc 0.000 0.000 0.016
3 Sc 0.000 0.000 0.484
4 W 0.500 0.500 0.250


(3)
Density functional theory data (PBE) for BeSbP after structural relaxation.

Results
Energy above the lowest structure with this stoichiometry ... 186 meV/atom
Magnetic moment ... 0.000 μB/atom

Cell: 6.348 6.015 3.404 Å, 79.48 68.70 31.82°
Fractional positions:
1 Sb 0.631 0.631 0.369
2 Be 0.967 0.967 0.033
3 P 0.402 0.402 0.598


(4)
Density functional theory data (PBE) for BaTiBi2 after structural relaxation.

Results
Energy above the lowest structure with this stoichiometry ... 0 meV/atom
Magnetic moment ... 0.000 μB/atom

Cell: 4.381 4.381 8.328 Å, 74.75 74.75 60.00°
Fractional positions:
1 Ti 0.000 0.000 0.000
2 Bi 0.270 0.270 0.190
3 Bi 0.730 0.730 0.810
4 Ba 0.500 0.500 0.500


(5)
Density functional theory data (PBE) for RbLiW3 after structural relaxation.

Results
Energy above the lowest structure with this stoichiometry ... 1166 meV/atom
Magnetic moment ... 0.000 μB/atom

Cell: 4.740 4.740 4.740 Å, 90.00 90.00 90.00°
Fractional positions:
1 Rb 0.000 0.000 0.000
2 W 0.000 0.500 0.000
3 W 0.000 0.000 0.500
4 W 0.500 0.000 0.000
5 Li 0.500 0.500 0.500


(6)
Density functional theory data (PBE) for MnCu4Rh after structural relaxation.

Results
Energy ... -5.431 eV per atom
Magnetic moment ... 0.689 μB/atom

Cell: 4.783 4.783 4.783 Å, 60.00 60.00 60.00°
Fractional positions:
1 Mn 0.750 0.750 0.750
2 Cu 0.875 0.375 0.375
3 Cu 0.375 0.375 0.875
4 Cu 0.375 0.875 0.375
5 Cu 0.375 0.375 0.375
6 Rh 0.000 0.000 0.000